# 1
The following is a DFT calculation (PBE-GGA) of an optimized crystal structure of AsPb6Se3I2.

Calculated values
**Energy relative to the elements, uncorrected**: -4.768 eV per formula unit
**SG**: C2/m, No. 12

extended XYZ file:
```
12
Lattice="3.9829 -6.6604 0.0000 3.9829 6.6604 0.0000 -2.4004 0.0000 7.5103" Properties=species:S:1:pos:R:3 pbc="T T T"
As 0.0000 0.0000 0.0000
Pb 1.2245 1.8957 2.0127
Pb -0.1088 0.0000 5.4869
Pb 1.2245 -1.8957 2.0127
Pb 4.3410 1.8957 5.4976
Pb 5.6743 0.0000 2.0234
Pb 4.3410 -1.8957 5.4976
Se 2.7827 4.4519 3.7552
Se 2.7827 0.0000 3.7552
Se 2.7827 -4.4519 3.7552
I 3.9829 2.2197 0.0000
I 3.9829 -2.2197 0.0000
```

***

# 2
The following is a DFT calculation (PBE-GGA) of an optimized crystal structure of As2PbSeI.

Calculated values
**Excess energy over the best structure of this formula in the dataset**: 0 meV per atom
**Energy relative to the elements, uncorrected**: 4.406 eV per formula unit
**SG**: P4/mmm, No. 123

extended XYZ file:
```
5
Lattice="5.6035 0.0000 0.0000 0.0000 5.6035 0.0000 0.0000 0.0000 5.5914" Properties=species:S:1:pos:R:3 pbc="T T T"
As 0.0000 2.8017 0.0000
As 2.8017 0.0000 0.0000
Pb 0.0000 0.0000 2.7957
Se 2.8017 2.8017 2.7957
I 2.8017 2.8017 0.0000
```

***

# 3
The following is a DFT calculation (PBE-GGA) of an optimized crystal structure of Sr8AsPb3I4.

Calculated values
**Energy relative to the elements, uncorrected**: -16.141 eV per formula unit
**SG**: C2/m, No. 12

extended XYZ file:
```
16
Lattice="8.1644 -4.7220 0.0000 8.1644 4.7220 0.0000 -5.4420 0.0000 8.3634" Properties=species:S:1:pos:R:3 pbc="T T T"
Sr 4.1578 2.4882 5.9530
Sr -0.1408 0.0000 5.9540
Sr 6.7289 2.4882 2.4104
Sr 2.7199 0.0000 2.2312
Sr 8.1668 0.0000 6.1321
Sr 4.1578 -2.4882 5.9530
Sr 11.0275 0.0000 2.4093
Sr 6.7289 -2.4882 2.4104
As -2.7210 0.0000 4.1817
Pb 1.3612 2.3610 4.1817
Pb 1.3612 -2.3610 4.1817
Pb 5.4434 0.0000 4.1817
I 0.0000 0.0000 0.0000
I 4.0822 2.3610 0.0000
I 4.0822 -2.3610 0.0000
I 8.1644 0.0000 0.0000
```

***

# 4
The following is a DFT calculation (PBE-GGA) of an optimized crystal structure of TaAs2PbI.

Calculated values
**Energy relative to the elements, uncorrected**: 0.691 eV per formula unit
**SG**: P4/mmm, No. 123

extended XYZ file:
```
5
Lattice="4.9594 0.0000 0.0000 0.0000 4.9594 0.0000 0.0000 0.0000 5.9613" Properties=species:S:1:pos:R:3 pbc="T T T"
Ta 0.0000 0.0000 0.0000
As 0.0000 2.4797 0.0000
As 2.4797 0.0000 0.0000
Pb 0.0000 0.0000 2.9807
I 2.4797 2.4797 2.9807
```

***

# 5
The following is a DFT calculation (PBE-GGA) of an optimized crystal structure of Ta2AsPbI.

Calculated values
**Energy relative to the elements, uncorrected**: 5.687 eV per formula unit
**SG**: P4/mmm, No. 123

extended XYZ file:
```
5
Lattice="4.8849 0.0000 0.0000 0.0000 4.8849 0.0000 0.0000 0.0000 5.8640" Properties=species:S:1:pos:R:3 pbc="T T T"
Ta 0.0000 2.4424 0.0000
Ta 2.4424 0.0000 0.0000
As 0.0000 0.0000 0.0000
Pb 0.0000 0.0000 2.9320
I 2.4424 2.4424 2.9320
```

***

# 6
The following is a DFT calculation (PBE-GGA) of an optimized crystal structure of TeAs2PbI.

Calculated values
**Energy relative to the elements, uncorrected**: 3.108 eV per formula unit
**SG**: P4/mmm, No. 123

extended XYZ file:
```
5
Lattice="5.3319 0.0000 0.0000 0.0000 5.3319 0.0000 0.0000 0.0000 6.3722" Properties=species:S:1:pos:R:3 pbc="T T T"
Te 0.0000 0.0000 0.0000
As 0.0000 2.6659 0.0000
As 2.6659 0.0000 0.0000
Pb 0.0000 0.0000 3.1861
I 2.6659 2.6659 3.1861
```

***

# 7
The following is a DFT calculation (PBE-GGA) of an optimized crystal structure of TlAsPbI2.

Calculated values
**Energy relative to the elements, uncorrected**: 0.170 eV per formula unit
**SG**: P4/mmm, No. 123

extended XYZ file:
```
5
Lattice="6.3628 0.0000 0.0000 0.0000 6.3628 0.0000 0.0000 0.0000 5.7156" Properties=species:S:1:pos:R:3 pbc="T T T"
Tl 0.0000 0.0000 0.0000
As 3.1814 3.1814 0.0000
Pb 3.1814 3.1814 2.8578
I 0.0000 3.1814 2.8578
I 3.1814 0.0000 2.8578
```

***

# 8
The following is a DFT calculation (PBE-GGA) of an optimized crystal structure of TlAs2PbI.

Calculated values
**Energy relative to the elements, uncorrected**: 3.222 eV per formula unit
**SG**: P4/mmm, No. 123

extended XYZ file:
```
5
Lattice="5.3047 0.0000 0.0000 0.0000 5.3047 0.0000 0.0000 0.0000 6.2541" Properties=species:S:1:pos:R:3 pbc="T T T"
Tl 0.0000 0.0000 0.0000
As 0.0000 2.6524 0.0000
As 2.6524 0.0000 0.0000
Pb 2.6524 2.6524 3.1271
I 0.0000 0.0000 3.1271
```

***

# 9
The following is a DFT calculation (PBE-GGA) of an optimized crystal structure of AsPbWI2.

Calculated values
**Energy relative to the elements, uncorrected**: 8.046 eV per formula unit
**SG**: P4/mmm, No. 123

extended XYZ file:
```
5
Lattice="6.1844 0.0000 0.0000 0.0000 6.1844 0.0000 0.0000 0.0000 5.6919" Properties=species:S:1:pos:R:3 pbc="T T T"
As 0.0000 0.0000 0.0000
Pb 3.0922 3.0922 2.8460
W 3.0922 3.0922 0.0000
I 0.0000 3.0922 2.8460
I 3.0922 0.0000 2.8460
```

***

# 10
The following is a DFT calculation (PBE-GGA) of an optimized crystal structure of As2PdI.

Calculated values
**Excess energy over the best structure of this formula in the dataset**: 0 meV per atom
**Energy relative to the elements, uncorrected**: 0.934 eV per formula unit
**SG**: I-42d, No. 122

extended XYZ file:
```
8
Lattice="-3.3128 3.3128 5.3178 3.3128 -3.3128 5.3178 3.3128 3.3128 -5.3178" Properties=species:S:1:pos:R:3 pbc="T T T"
As 4.9692 1.1107 -1.3295
As 1.1107 1.6564 1.3295
As -1.6564 2.2021 3.9884
As 2.2021 1.6564 6.6473
Pd 0.0000 0.0000 0.0000
Pd 0.0000 3.3128 2.6589
I 3.3128 0.0000 2.6589
I 0.0000 0.0000 5.3178
```

***

# 11
The following is a DFT calculation (PBE-GGA) of an optimized crystal structure of AsPd2I3.

Calculated values
**Energy relative to the elements, uncorrected**: -0.477 eV per formula unit
**SG**: C2/m, No. 12

extended XYZ file:
```
12
Lattice="9.5960 -1.9465 0.0000 9.5960 1.9465 0.0000 -9.4205 0.0000 9.9172" Properties=species:S:1:pos:R:3 pbc="T T T"
As 1.4290 0.0000 0.0936
As 8.3424 0.0000 9.8236
Pd -0.2127 0.0000 2.0364
Pd -2.8737 0.0000 9.3091
Pd 12.6451 0.0000 0.6081
Pd 9.9841 0.0000 7.8808
I -1.7050 0.0000 6.9185
I 4.9453 0.0000 1.6351
I 1.8054 0.0000 6.3763
I 7.9661 0.0000 3.5409
I 4.8261 0.0000 8.2821
I 11.4764 0.0000 2.9987
```

***

# 12
The following is a DFT calculation (PBE-GGA) of an optimized crystal structure of AsPd2I8.

Calculated values
**Energy relative to the elements, uncorrected**: -0.430 eV per formula unit
**SG**: C2/m, No. 12

extended XYZ file:
```
11
Lattice="5.0496 -6.5413 0.0000 5.0496 6.5413 0.0000 -0.7922 0.0000 8.5353" Properties=species:S:1:pos:R:3 pbc="T T T"
As 0.0000 0.0000 0.0000
Pd 1.0608 0.0000 5.6677
Pd 8.2463 0.0000 2.8677
I 1.1961 1.9399 7.6218
I 0.8619 0.0000 2.8326
I 1.1961 -1.9399 7.6218
I 3.6643 0.0000 5.4573
I 5.6428 0.0000 3.0781
I 8.1110 1.9399 0.9136
I 8.4452 0.0000 5.7028
I 8.1110 -1.9399 0.9136
```